Here is a relaxed structure of LiMnBiI2 from Alexandria. Energies are from PBE-GGA.

Output
energy above the lowest structure with this stoichiometry: 0.130 eV/atom
uncorrected formation energy: 0.372 eV/atom

a b c (Å): 5.459 6.111 5.459
angles (deg): 90.00 90.00 90.00
Each line ends with the local moment (μB).
Fractional coordinates of all 5 atoms:
I 0.000 0.000 0.500  0.14
I 0.500 0.000 0.000  0.11
Mn 0.000 0.000 0.000  3.94
Bi 0.500 0.500 0.500  1.25
Li 0.000 0.500 0.000  -0.02

=====

Here is a relaxed structure of BeAl2Hg from Alexandria. Energies are from PBE-GGA.

Output
energy above the lowest structure with this stoichiometry: 0.101 eV/atom

a b c (Å): 4.015 4.015 4.074
angles (deg): 90.00 90.00 90.00
Fractional coordinates of all 4 atoms:
Be 0.500 0.000 0.500
Hg 0.000 0.500 0.500
Al 0.000 0.000 0.000
Al 0.500 0.500 0.000

=====

Here is a relaxed structure of Ba4AgPd from Alexandria. Energies are from PBE-GGA.

Output
energy above the lowest structure with this stoichiometry: 0.018 eV/atom

a b c (Å): 8.008 8.007 9.848
angles (deg): 65.89 65.81 89.98
Fractional coordinates of all 12 atoms:
Ba 0.368 0.873 0.259
Ba 0.628 0.627 0.741
Ba 0.632 0.127 0.741
Ba 0.372 0.373 0.259
Ba 0.868 0.868 0.259
Ba 0.128 0.632 0.741
Ba 0.132 0.132 0.741
Ba 0.872 0.368 0.259
Ag 0.250 0.750 0.000
Ag 0.750 0.250 0.000
Pd 0.000 0.000 0.500
Pd 0.500 0.500 0.500

=====

Here is a relaxed structure of Mg3Sc2Tl3 from Alexandria. Energies are from PBE-GGA.

a b c (Å): 4.778 4.709 8.196
angles (deg): 90.00 90.00 90.00
Fractional coordinates of all 8 atoms:
Mg 0.500 0.500 0.752
Mg 0.500 0.500 0.248
Mg 0.500 0.000 0.000
Sc 0.000 0.000 0.746
Sc 0.000 0.000 0.254
Tl 0.500 0.000 0.500
Tl 0.000 0.500 0.000
Tl 0.000 0.500 0.500

=====

Here is a relaxed structure of SbMo2Ir from Alexandria. Energies are from PBE-GGA.

Output
uncorrected formation energy: 0.187 eV/atom

a b c (Å): 3.056 3.056 7.104
angles (deg): 90.00 90.00 90.00
Fractional coordinates of all 4 atoms:
Ir 0.500 0.500 0.750
Mo 0.000 0.000 0.994
Mo 0.000 0.000 0.506
Sb 0.500 0.500 0.250

=====

Here is a relaxed structure of LiCu8Ni4 from Alexandria. Energies are from PBE-GGA.

Output
energy above the lowest structure with this stoichiometry: 0.000 eV/atom

a b c (Å): 8.340 8.340 8.340
angles (deg): 33.88 33.88 33.88
Each line ends with the local moment (μB).
Fractional coordinates of all 13 atoms:
Li 0.000 0.000 0.000  -0.01
Cu 0.758 0.252 0.252  0.01
Cu 0.252 0.252 0.758  0.01
Cu 0.252 0.758 0.252  0.01
Cu 0.184 0.184 0.184  0.00
Cu 0.816 0.816 0.816  0.00
Cu 0.748 0.748 0.242  0.01
Cu 0.748 0.242 0.748  0.01
Cu 0.242 0.748 0.748  0.01
Ni 0.500 0.500 0.500  0.07
Ni 0.500 0.500 0.000  0.34
Ni 0.000 0.500 0.500  0.34
Ni 0.500 0.000 0.500  0.34

=====

Here is a relaxed structure of Tl3IO6 from Alexandria. Energies are from PBE-GGA.

Output
uncorrected formation energy: -0.461 eV/atom

a b c (Å): 5.814 6.614 8.670
angles (deg): 90.00 89.98 90.00
Fractional coordinates of all 20 atoms:
Tl 0.500 0.000 0.770
Tl 0.500 0.500 0.000
Tl 0.500 0.000 0.230
Tl 0.000 0.500 0.270
Tl 0.000 0.000 0.500
Tl 0.000 0.500 0.730
I 0.500 0.500 0.500
I 0.000 0.000 0.000
O 0.720 0.150 0.000
O 0.634 0.328 0.660
O 0.634 0.329 0.339
O 0.366 0.671 0.661
O 0.366 0.672 0.340
O 0.280 0.850 0.000
O 0.220 0.350 0.500
O 0.134 0.172 0.160
O 0.134 0.171 0.839
O 0.866 0.829 0.161
O 0.866 0.828 0.840
O 0.780 0.650 0.500

=====

Here is a relaxed structure of Sr3Ge2N4 from Alexandria. Energies are from PBE-GGA.

Output
uncorrected formation energy: -0.411 eV/atom

a b c (Å): 5.671 9.404 9.404
angles (deg): 51.33 108.57 108.57
Fractional coordinates of all 18 atoms:
Sr 0.903 0.986 0.296
Sr 0.597 0.704 0.014
Sr 0.097 0.014 0.704
Sr 0.403 0.296 0.986
Sr 0.250 0.717 0.283
Sr 0.750 0.283 0.717
Ge 0.478 0.176 0.393
Ge 0.022 0.607 0.824
Ge 0.522 0.824 0.607
Ge 0.978 0.393 0.176
N 0.397 0.981 0.350
N 0.103 0.650 0.019
N 0.603 0.019 0.650
N 0.897 0.350 0.981
N 0.176 0.227 0.379
N 0.324 0.621 0.773
N 0.824 0.773 0.621
N 0.676 0.379 0.227

=====

Here is a relaxed structure of CeNdSmTm from Alexandria. Energies are from PBE-GGA.

a b c (Å): 5.721 5.721 5.721
angles (deg): 60.00 60.00 60.00
Each line ends with the local moment (μB).
Fractional coordinates of all 4 atoms:
Tm 0.500 0.500 0.500  0.40
Nd 0.250 0.250 0.250  0.31
Ce 0.000 0.000 0.000  1.13
Sm 0.750 0.750 0.750  0.31

=====

Here is a relaxed structure of Zr2SiOs from Alexandria. Energies are from PBE-GGA.

Output
uncorrected formation energy: -0.155 eV/atom

a b c (Å): 8.418 8.418 8.418
angles (deg): 22.33 22.33 22.33
Fractional coordinates of all 4 atoms:
Os 0.250 0.250 0.250
Si 0.750 0.750 0.750
Zr 0.000 0.000 0.000
Zr 0.500 0.500 0.500

=====

Here is a relaxed structure of Sr2MgPd2 from Alexandria. Energies are from PBE-GGA.

a b c (Å): 6.004 6.004 5.850
angles (deg): 59.12 59.12 90.00
Fractional coordinates of all 5 atoms:
Sr 0.750 0.250 0.500
Sr 0.250 0.750 0.500
Mg 0.000 0.000 0.000
Pd 0.332 0.332 0.337
Pd 0.668 0.668 0.663

=====

Here is a relaxed structure of NaPr2CuO5 from Alexandria. Energies are from PBE-GGA.

Output
uncorrected formation energy: -2.219 eV/atom

a b c (Å): 5.635 6.812 6.812
angles (deg): 90.00 90.00 90.00
Fractional coordinates of all 18 atoms:
Na 0.000 0.500 0.500
Na 0.000 0.000 0.000
Pr 0.500 0.678 0.178
Pr 0.500 0.178 0.322
Pr 0.500 0.822 0.678
Pr 0.500 0.322 0.822
Cu 0.000 0.000 0.500
Cu 0.000 0.500 0.000
O 0.500 0.500 0.500
O 0.500 0.000 0.000
O 0.238 0.130 0.630
O 0.238 0.870 0.370
O 0.238 0.370 0.130
O 0.238 0.630 0.870
O 0.762 0.130 0.630
O 0.762 0.630 0.870
O 0.762 0.870 0.370
O 0.762 0.370 0.130

=====

Spin magnetization for every record listed, in sequence, given in μB/atom: 1.315, 0.000, 0.000, 0.000, 0.000, 0.082, 0.000, 0.011, 0.814, 0.000, 0.000, 0.000.
Theoretical density for every record listed, in sequence, given in g/cm3: 4.78, 6.66, 4.92, 6.99, 12.66, 7.75, 8.33, 4.21, 7.57, 8.82, 4.72, 5.70.
Energy for every record listed, in sequence, given in eV/atom: -3.24, -2.51, -2.87, -3.24, -8.47, -4.23, -4.30, -5.70, -4.78, -8.59, -3.43, -6.64.